# 1
The following is a DFT calculation (PBE-GGA) of an optimized crystal structure of LaMg4Hg4.

Cell lengths 6.7911, 6.7911, 9.6099 Å; angles 90.00, 90.00, 90.00 degrees
Space group P4_2/nmc (No. 137, origin choice 2)
Symmetry-distinct sites (fractional):
La  0.2500  0.7500  0.2500 x2
Mg  0.0241  0.2500  0.1594 x8
Hg  0.0240  0.2500  0.4584 x8

Properties
D(E_F), states/eV/cell: 9.55
E_tot, eV for the cell shown: -29.5

=====

# 2
The following is a DFT calculation (PBE-GGA) of an optimized crystal structure of La2Mg2Hg.

Cell lengths 11.5057, 5.2573, 9.7146 Å; angles 90.00, 106.65, 90.00 degrees
Space group C2/m (No. 12)
Symmetry-distinct sites (fractional):
La  0.0351  0.0000  0.3520 x4
La  0.1722  0.0000  0.0692 x4
Mg  0.0149  0.5000  0.8560 x4
Mg  0.1431  0.5000  0.5796 x4
Hg  0.2381  0.5000  0.3061 x4

Properties
D(E_F), states/eV/cell: 16.80
E_tot, eV for the cell shown: -57.9
Excess energy over the best structure of this formula in the dataset, eV/atom: 0.015

=====

# 3
The following is a DFT calculation (PBE-GGA) of an optimized crystal structure of La6MgHg3.

Cell lengths 9.6336, 5.5427, 12.2090 Å; angles 90.00, 108.13, 90.00 degrees
Space group P2_1/m (No. 11)
Symmetry-distinct sites (fractional):
La  0.0293  0.2500  0.4112 x2
La  0.1503  0.7500  0.1831 x2
La  0.2337  0.2500  0.0012 x2
La  0.3424  0.7500  0.7997 x2
La  0.3775  0.2500  0.3535 x2
La  0.4157  0.2500  0.6208 x2
Mg  0.4573  0.7500  0.0881 x2
Hg  0.0442  0.7500  0.8792 x2
Hg  0.1326  0.2500  0.7183 x2
Hg  0.2642  0.7500  0.4748 x2

Properties
D(E_F), states/eV/cell: 24.11
E_tot, eV for the cell shown: -70.0

=====

# 4
The following is a DFT calculation (PBE-GGA) of an optimized crystal structure of La2MgHg8.

Cell lengths 17.4910, 4.9857, 7.1196 Å; angles 90.00, 112.95, 90.00 degrees
Space group C2/m (No. 12)
Symmetry-distinct sites (fractional):
La  0.2117  0.0000  0.2070 x4
Mg  0.0000  0.5000  0.5000 x2
Hg  0.0038  0.0000  0.2179 x4
Hg  0.1194  0.5000  0.9101 x4
Hg  0.1279  0.5000  0.3469 x4
Hg  0.1556  0.0000  0.6607 x4

Properties
D(E_F), states/eV/cell: 13.31
E_tot, eV for the cell shown: -34.6

=====

# 5
The following is a DFT calculation (PBE-GGA) of an optimized crystal structure of LaMgHg.

Cell lengths 5.1032, 5.1032, 3.5998 Å; angles 90.00, 90.00, 120.00 degrees
Space group P-6m2 (No. 187)
Symmetry-distinct sites (fractional):
La  0.0000  0.0000  0.0000 x1
Mg  0.6667  0.3333  0.5000 x1
Hg  0.3333  0.6667  0.5000 x1

Properties
D(E_F), states/eV/cell: 2.91
E_tot, eV for the cell shown: -7.9

=====

# 6
The following is a DFT calculation (PBE-GGA) of an optimized crystal structure of La2Mg2Hg.

Cell lengths 8.1022, 8.1022, 4.9730 Å; angles 90.00, 90.00, 90.00 degrees
Space group P4/mbm (No. 127)
Symmetry-distinct sites (fractional):
La  0.1306  0.3694  0.0000 x4
Mg  0.1607  0.6607  0.5000 x4
Hg  0.0000  0.0000  0.0000 x2

Properties
D(E_F), states/eV/cell: 6.35
E_tot, eV for the cell shown: -26.2
Excess energy over the best structure of this formula in the dataset, eV/atom: 0.292

=====

# 7
The following is a DFT calculation (PBE-GGA) of an optimized crystal structure of La2MgHg2.

Cell lengths 4.2967, 4.2967, 17.3802 Å; angles 90.00, 90.00, 90.00 degrees
Space group I4/mmm (No. 139)
Symmetry-distinct sites (fractional):
La  0.0000  0.0000  0.1052 x4
Mg  0.0000  0.0000  0.5000 x2
Hg  0.0000  0.5000  0.2500 x4

Properties
D(E_F), states/eV/cell: 11.78
E_tot, eV for the cell shown: -25.0
Excess energy over the best structure of this formula in the dataset, eV/atom: 0.308

=====

# 8
The following is a DFT calculation (PBE-GGA) of an optimized crystal structure of LaMgHg2.

Cell lengths 5.0250, 5.0250, 19.1571 Å; angles 90.00, 90.00, 90.00 degrees
Space group I-42d (No. 122)
Symmetry-distinct sites (fractional):
La  0.0000  0.0000  0.0000 x4
Mg  0.0000  0.0000  0.5000 x4
Hg  0.1688  0.2500  0.6250 x8

Properties
D(E_F), states/eV/cell: 9.23
E_tot, eV for the cell shown: -30.9